Density functional theory data (GGA-PBE) for a geometry-optimized Pb4Au structure.

Cell lengths 5.9883, 5.9883, 5.9883 Å; angles 109.47, 109.47, 109.47 degrees
Positions (direct):
1 Pb 0.0000 0.0000 0.5000
2 Pb 0.0000 0.5000 0.0000
3 Pb 0.5000 0.0000 0.0000
4 Pb 0.5000 0.5000 0.5000
5 Au 0.0000 0.0000 0.0000

Values from the calculation:
- space group = Im-3m (229)


Density functional theory data (GGA-PBE) for a geometry-optimized Pb3Au structure.

Cell lengths 6.0927, 6.0927, 6.0927 Å; angles 90.00, 90.00, 90.00 degrees
Positions (direct):
1 Pb 0.0000 0.2500 0.5000
2 Pb 0.0000 0.7500 0.5000
3 Pb 0.2500 0.5000 0.0000
4 Pb 0.5000 0.0000 0.2500
5 Pb 0.5000 0.0000 0.7500
6 Pb 0.7500 0.5000 0.0000
7 Au 0.0000 0.0000 0.0000
8 Au 0.5000 0.5000 0.5000

Values from the calculation:
- space group = Pm-3n (223)


Density functional theory data (GGA-PBE) for a geometry-optimized Pb5Au structure.

Cell lengths 3.5353, 3.5353, 13.9418 Å; angles 90.00, 90.00, 90.00 degrees
Positions (direct):
1 Pb 0.0000 0.0000 0.0000
2 Pb 0.0000 0.0000 0.3642
3 Pb 0.0000 0.0000 0.6358
4 Pb 0.5000 0.5000 0.1811
5 Pb 0.5000 0.5000 0.8189
6 Au 0.5000 0.5000 0.5000

Values from the calculation:
- space group = P4/mmm (123)


Density functional theory data (GGA-PBE) for a geometry-optimized Pb3Au structure.

Cell lengths 7.4463, 9.2451, 6.6213 Å; angles 90.00, 90.00, 90.00 degrees
Positions (direct):
1 Pb 0.0076 0.2500 0.1136
2 Pb 0.1965 0.0509 0.6486
3 Pb 0.1965 0.4491 0.6486
4 Pb 0.3035 0.5509 0.1486
5 Pb 0.3035 0.9491 0.1486
6 Pb 0.4924 0.7500 0.6136
7 Pb 0.5076 0.2500 0.3864
8 Pb 0.6965 0.0509 0.8514
9 Pb 0.6965 0.4491 0.8514
10 Pb 0.8035 0.5509 0.3514
11 Pb 0.8035 0.9491 0.3514
12 Pb 0.9924 0.7500 0.8864
13 Au 0.1071 0.7500 0.4494
14 Au 0.3929 0.2500 0.9494
15 Au 0.6071 0.7500 0.0506
16 Au 0.8929 0.2500 0.5506

Values from the calculation:
- space group = Pnma (62)


Density functional theory data (GGA-PBE) for a geometry-optimized PbAu4 structure.

Cell lengths 5.4853, 5.4853, 5.4853 Å; angles 109.47, 109.47, 109.47 degrees
Positions (direct):
1 Pb 0.0000 0.0000 0.0000
2 Au 0.0000 0.0000 0.5000
3 Au 0.0000 0.5000 0.0000
4 Au 0.5000 0.0000 0.0000
5 Au 0.5000 0.5000 0.5000

Values from the calculation:
- space group = Im-3m (229)


Density functional theory data (GGA-PBE) for a geometry-optimized PbAu6 structure.

Cell lengths 6.4512, 6.4512, 6.4512 Å; angles 109.47, 109.47, 109.47 degrees
Positions (direct):
1 Pb 0.0000 0.0000 0.0000
2 Au 0.2500 0.5000 0.7500
3 Au 0.2500 0.7500 0.5000
4 Au 0.5000 0.2500 0.7500
5 Au 0.5000 0.7500 0.2500
6 Au 0.7500 0.2500 0.5000
7 Au 0.7500 0.5000 0.2500

Values from the calculation:
- space group = Im-3m (229)


| no. | raw total energy (eV/atom) |
| --- | --- |
| 1 | -3.444 |
| 2 | -3.519 |
| 3 | -3.650 |
| 4 | -3.641 |
| 5 | -2.962 |
| 6 | -2.790 |